(1)
10
Lattice="-7.932 -1.790 3.550 3.639 -6.460 4.873 0.536 1.944 2.177" Properties=species:S:1:pos:R:3 comment="PBE-GGA Na2InAs2, relaxed" m_tot_mub_per_atom=0.000 n_ef_per_ev_fu=2.62 dft_energy_ev_per_atom=-3.026 density_g_cm3=4.4 space_group="P4/mbm (127)" polymorph_energy_mev_per_atom=253 ef_mev_per_atom=-90.9 pbc="T T T"
Na 0.195 -6.351 5.623
Na -4.704 -5.588 6.148
Na -4.488 -1.899 2.800
Na 0.411 -2.662 2.275
As 1.329 -3.716 5.013
As -2.103 -5.558 7.503
As -5.086 -2.591 5.587
As -1.654 -0.748 3.097
In 0.000 0.000 0.000
In -2.146 -4.125 4.211

(2)
12
Lattice="3.583 0.000 0.000 0.000 10.499 -0.553 -1.791 -3.177 11.171" Properties=species:S:1:pos:R:3 comment="PBE-GGA AcTb3Dy2, relaxed" m_tot_mub_per_atom=0.000 n_ef_per_ev_fu=8.88 dft_energy_ev_per_atom=-4.392 density_g_cm3=8.3 space_group="C2/m (12)" polymorph_energy_mev_per_atom=43 ef_mev_per_atom=142.1 pbc="T T T"
Ac 0.000 8.077 6.601
Ac 1.791 -0.755 4.017
Tb 0.000 1.104 6.638
Tb 0.000 7.482 1.063
Tb 0.000 3.039 9.522
Tb 1.791 6.218 3.980
Tb 1.791 4.283 1.096
Tb 1.791 -0.160 9.555
Dy 0.000 4.593 6.532
Dy 1.791 2.729 4.085
Dy 1.791 6.175 9.249
Dy 0.000 1.147 1.368

(3)
3
Lattice="4.649 0.000 0.000 2.325 4.027 0.000 2.325 1.342 3.796" Properties=species:S:1:pos:R:3 comment="PBE-GGA LiHoGe, relaxed" m_tot_mub_per_atom=0.000 dft_energy_ev_per_atom=-4.263 density_g_cm3=5.7 space_group="F-43m (216)" ef_mev_per_atom=-560.2 pbc="T T T"
Ge 2.325 1.342 0.949
Ho 4.649 2.684 1.898
Li 0.000 0.000 0.000

(4)
12
Lattice="-3.389 2.678 5.280 5.752 -3.510 1.065 4.139 6.577 -0.679" Properties=species:S:1:pos:R:3 comment="PBE-GGA Cs3RbCl2F6, relaxed" m_tot_mub_per_atom=0.333 n_ef_per_ev_fu=9.55 dft_energy_ev_per_atom=-3.172 density_g_cm3=3.5 space_group="P-3m1 (164)" e_form_raw_ev_per_atom=-1.63 pbc="T T T"
Cs 5.277 2.640 2.049
Cs 1.225 3.105 3.618
Cs 0.000 0.000 0.000
Rb 2.070 3.289 -0.339
Cl 3.404 6.567 3.261
Cl 3.098 -0.822 2.406
F 3.784 0.807 4.073
F 2.683 1.195 1.116
F 5.363 -0.441 1.612
F 3.819 4.550 4.551
F 2.718 4.938 1.594
F 1.138 6.186 4.055